Compound: LaPm3Se4
Source: the Alexandria database
Functional: PBE-GGA
Structure: relaxed

Structure (extended XYZ):
```
16
Lattice="4.1926 0.0000 0.0000 -2.0963 3.6309 0.0000 0.0000 0.0000 28.0969" Properties=species:S:1:pos:R:3 pbc="T T T"
La 0.0000 2.4206 7.0242
La 2.0963 1.2103 21.0726
Pm 0.0000 0.0000 0.0000
Pm 0.0000 0.0000 14.0484
Pm 0.0000 2.4206 17.4856
Pm 0.0000 2.4206 24.6597
Pm 2.0963 1.2103 3.4372
Pm 2.0963 1.2103 10.6112
Se 0.0000 0.0000 5.1544
Se 0.0000 0.0000 8.8940
Se 0.0000 0.0000 19.2029
Se 0.0000 0.0000 22.9424
Se 0.0000 2.4206 1.7206
Se 0.0000 2.4206 12.3278
Se 2.0963 1.2103 15.7690
Se 2.0963 1.2103 26.3763
```

Raw formation energy ... -1.8614 eV per atom
SG ... P6_3/mmc
Fermi-level density of states ... 11.58 states/eV/cell
Magnetization ... 0.001 μB per cell